Record 1
Computed, not measured: an optimized crystal structure of KCaGePd2 at the GGA-PBE level of DFT.

Lattice parameters (Å, degrees): 5.200 5.200 5.626 90.00 90.00 90.00
Space group P4/mmm (No. 123)
Symmetry-distinct sites (fractional):
K 0.000 0.000 0.000 (multiplicity 1)
Ca 0.500 0.500 0.500 (multiplicity 1)
Ge 0.500 0.500 0.000 (multiplicity 1)
Pd 0.000 0.500 0.500 (multiplicity 2)

The energy of formation is 44.1 kJ per mole of atoms.

Record 2
Computed, not measured: an optimized crystal structure of KCa2GePt at the GGA-PBE level of DFT.

Lattice parameters (Å, degrees): 5.472 5.472 5.844 90.00 90.00 90.00
Space group P4/mmm (No. 123)
Symmetry-distinct sites (fractional):
K 0.000 0.000 0.000 (multiplicity 1)
Ca 0.000 0.500 0.500 (multiplicity 2)
Ge 0.500 0.500 0.000 (multiplicity 1)
Pt 0.000 0.000 0.500 (multiplicity 1)

The energy of formation is -7.7 kJ per mole of atoms.

Record 3
Computed, not measured: an optimized crystal structure of KCa2GeRh at the GGA-PBE level of DFT.

Lattice parameters (Å, degrees): 5.597 5.597 4.857 90.00 90.00 90.00
Space group P4/mmm (No. 123)
Symmetry-distinct sites (fractional):
K 0.000 0.000 0.000 (multiplicity 1)
Ca 0.000 0.500 0.500 (multiplicity 2)
Ge 0.500 0.500 0.000 (multiplicity 1)
Rh 0.500 0.500 0.500 (multiplicity 1)

The energy of formation is -26.9 kJ per mole of atoms.

Record 4
Computed, not measured: an optimized crystal structure of K2CaGeS4 at the GGA-PBE level of DFT.

Lattice parameters (Å, degrees): 8.270 8.791 7.023 90.00 90.00 90.00
Space group Pmn2_1 (No. 31)
Symmetry-distinct sites (fractional):
K 0.234 0.158 0.000 (multiplicity 4)
Ca 0.000 0.382 0.484 (multiplicity 2)
Ge 0.000 0.667 0.973 (multiplicity 2)
S 0.000 0.433 0.098 (multiplicity 2)
S 0.000 0.651 0.658 (multiplicity 2)
S 0.225 0.799 0.052 (multiplicity 4)

The raw formation energy comes out at -1121 meV per atom.

no.,theoretical density (Mg/m³),DOS(E_F) (states/eV/cell)
1,4.0,3.45
2,3.7,3.98
3,3.2,3.55
4,2.1,0.00